i:
First-principles (PBE-GGA) data for a relaxed structure of HoZrSn2, as listed in the Alexandria database.

```
HoZrSn2
1.0
3.395 0.000 0.000
-1.698 2.941 0.000
0.000 0.000 29.996
Ho Zr Sn
3 3 6
direct
0.000 0.000 0.000 Ho
0.333 0.667 0.667 Ho
0.667 0.333 0.333 Ho
0.000 0.000 0.500 Zr
0.333 0.667 0.167 Zr
0.667 0.333 0.833 Zr
0.000 0.000 0.246 Sn
0.000 0.000 0.754 Sn
0.333 0.667 0.420 Sn
0.333 0.667 0.913 Sn
0.667 0.333 0.087 Sn
0.667 0.333 0.580 Sn
```

V = 25.0 A^3/atom
Calculated density = 8.21 Mg/m³

---

ii:
First-principles (PBE-GGA) data for a relaxed structure of HoZrSn2, as listed in the Alexandria database.

```
HoZrSn2
1.0
4.683 0.000 0.000
0.000 4.683 0.000
0.000 0.000 4.386
Ho Zr Sn
1 1 2
direct
0.000 0.000 0.000 Ho
0.500 0.500 0.000 Zr
0.000 0.500 0.500 Sn
0.500 0.000 0.500 Sn
```

V = 24.0 A^3/atom
Calculated density = 8.52 Mg/m³

---

Of them, ii has the highest stability.

---

i:
First-principles (PBE-GGA) data for a relaxed structure of SrTbHo2, as listed in the Alexandria database.

```
SrTbHo2
1.0
3.595 0.000 0.000
-1.798 3.113 0.000
0.000 0.000 38.203
Sr Tb Ho
3 3 6
direct
0.000 0.000 0.000 Sr
0.333 0.667 0.667 Sr
0.667 0.333 0.333 Sr
0.000 0.000 0.500 Tb
0.333 0.667 0.167 Tb
0.667 0.333 0.833 Tb
0.000 0.000 0.093 Ho
0.000 0.000 0.907 Ho
0.333 0.667 0.574 Ho
0.333 0.667 0.760 Ho
0.667 0.333 0.240 Ho
0.667 0.333 0.426 Ho
```

V = 35.6 A^3/atom
Calculated density = 6.71 Mg/m³

---

ii:
First-principles (PBE-GGA) data for a relaxed structure of SrTbHo2, as listed in the Alexandria database.

```
SrTbHo2
1.0
3.657 0.000 0.000
-1.829 3.167 0.000
0.000 0.000 36.276
Sr Tb Ho
3 3 6
direct
0.000 0.000 0.000 Sr
0.333 0.667 0.667 Sr
0.667 0.333 0.333 Sr
0.000 0.000 0.166 Tb
0.333 0.667 0.832 Tb
0.667 0.333 0.499 Tb
0.000 0.000 0.576 Ho
0.000 0.000 0.756 Ho
0.333 0.667 0.243 Ho
0.333 0.667 0.422 Ho
0.667 0.333 0.089 Ho
0.667 0.333 0.910 Ho
```

V = 35.0 A^3/atom
Calculated density = 6.83 Mg/m³

---

Of them, ii has the highest stability.

---

i:
First-principles (PBE-GGA) data for a relaxed structure of SrTb2Ho, as listed in the Alexandria database.

```
SrTb2Ho
1.0
3.603 0.000 0.000
-1.801 3.120 0.000
0.000 0.000 38.365
Sr Tb Ho
3 6 3
direct
0.000 0.000 0.000 Sr
0.333 0.667 0.667 Sr
0.667 0.333 0.333 Sr
0.000 0.000 0.093 Tb
0.000 0.000 0.907 Tb
0.333 0.667 0.573 Tb
0.333 0.667 0.760 Tb
0.667 0.333 0.240 Tb
0.667 0.333 0.427 Tb
0.000 0.000 0.500 Ho
0.333 0.667 0.167 Ho
0.667 0.333 0.833 Ho
```

V = 35.9 A^3/atom
Calculated density = 6.59 Mg/m³

---

ii:
First-principles (PBE-GGA) data for a relaxed structure of SrTb2Ho, as listed in the Alexandria database.

```
SrTb2Ho
1.0
3.668 0.000 0.000
-1.834 3.177 0.000
0.000 0.000 36.426
Sr Tb Ho
3 6 3
direct
0.000 0.000 0.000 Sr
0.333 0.667 0.667 Sr
0.667 0.333 0.333 Sr
0.000 0.000 0.576 Tb
0.000 0.000 0.756 Tb
0.333 0.667 0.243 Tb
0.333 0.667 0.423 Tb
0.667 0.333 0.089 Tb
0.667 0.333 0.909 Tb
0.000 0.000 0.166 Ho
0.333 0.667 0.832 Ho
0.667 0.333 0.499 Ho
```

V = 35.4 A^3/atom
Calculated density = 6.69 Mg/m³

---

iii:
First-principles (PBE-GGA) data for a relaxed structure of SrTb2Ho, as listed in the Alexandria database.

```
SrTb2Ho
1.0
3.674 0.000 0.000
0.000 3.674 0.000
0.000 0.000 10.573
Sr Tb Ho
1 2 1
direct
0.000 0.000 0.000 Sr
0.500 0.500 0.279 Tb
0.500 0.500 0.721 Tb
0.000 0.000 0.500 Ho
```

V = 35.7 A^3/atom
Calculated density = 6.64 Mg/m³

---

Of them, iii has the highest stability.

---

i:
First-principles (PBE-GGA) data for a relaxed structure of SrHo2Tc, as listed in the Alexandria database.

```
SrHo2Tc
1.0
3.601 0.000 0.000
-1.800 3.118 0.000
0.000 0.000 33.009
Sr Ho Tc
3 6 3
direct
0.000 0.000 0.000 Sr
0.333 0.667 0.667 Sr
0.667 0.333 0.333 Sr
0.000 0.000 0.109 Ho
0.000 0.000 0.891 Ho
0.333 0.667 0.558 Ho
0.333 0.667 0.776 Ho
0.667 0.333 0.224 Ho
0.667 0.333 0.442 Ho
0.000 0.000 0.500 Tc
0.333 0.667 0.167 Tc
0.667 0.333 0.833 Tc
```

V = 30.9 A^3/atom
Calculated density = 6.93 Mg/m³

---

ii:
First-principles (PBE-GGA) data for a relaxed structure of SrHo2Tc, as listed in the Alexandria database.

```
SrHo2Tc
1.0
3.513 0.000 0.000
0.000 3.513 0.000
0.000 0.000 9.631
Sr Ho Tc
1 2 1
direct
0.000 0.000 0.000 Sr
0.500 0.500 0.334 Ho
0.500 0.500 0.666 Ho
0.000 0.000 0.500 Tc
```

V = 29.7 A^3/atom
Calculated density = 7.20 Mg/m³

---

Of them, ii has the highest stability.

---

i:
First-principles (PBE-GGA) data for a relaxed structure of SrHo2Th, as listed in the Alexandria database.

```
SrHo2Th
1.0
3.680 0.000 0.000
0.000 3.680 0.000
0.000 0.000 10.565
Sr Ho Th
1 2 1
direct
0.000 0.000 0.000 Sr
0.500 0.500 0.284 Ho
0.500 0.500 0.716 Ho
0.000 0.000 0.500 Th
```

V = 35.8 A^3/atom
Calculated density = 7.54 Mg/m³

---

ii:
First-principles (PBE-GGA) data for a relaxed structure of SrHo2Th, as listed in the Alexandria database.

```
SrHo2Th
1.0
3.612 0.000 0.000
-1.806 3.128 0.000
0.000 0.000 37.855
Sr Ho Th
3 6 3
direct
0.000 0.000 0.000 Sr
0.333 0.667 0.667 Sr
0.667 0.333 0.333 Sr
0.000 0.000 0.094 Ho
0.000 0.000 0.906 Ho
0.333 0.667 0.573 Ho
0.333 0.667 0.761 Ho
0.667 0.333 0.239 Ho
0.667 0.333 0.427 Ho
0.000 0.000 0.500 Th
0.333 0.667 0.167 Th
0.667 0.333 0.833 Th
```

V = 35.6 A^3/atom
Calculated density = 7.57 Mg/m³

---

Of them, i has the highest stability.

---

i:
First-principles (PBE-GGA) data for a relaxed structure of SrHoTl4, as listed in the Alexandria database.

```
SrHoTl4
1.0
0.000 4.499 4.499
4.499 0.000 4.499
4.499 4.499 0.000
Sr Ho Tl
1 1 4
direct
0.000 0.000 0.000 Sr
0.250 0.250 0.250 Ho
0.126 0.625 0.625 Tl
0.625 0.126 0.625 Tl
0.625 0.625 0.126 Tl
0.625 0.625 0.625 Tl
```

V = 30.3 A^3/atom
Calculated density = 9.76 Mg/m³

---

ii:
First-principles (PBE-GGA) data for a relaxed structure of SrHoTl4, as listed in the Alexandria database.

```
SrHoTl4
1.0
5.045 0.000 0.000
2.474 4.454 0.000
0.064 0.108 8.215
Sr Ho Tl
1 1 4
direct
0.000 0.000 0.000 Sr
0.000 0.000 0.500 Ho
0.333 0.333 0.656 Tl
0.334 0.333 0.216 Tl
0.666 0.667 0.784 Tl
0.667 0.667 0.344 Tl
```

V = 30.8 A^3/atom
Calculated density = 9.63 Mg/m³

---

Of them, ii has the highest stability.

---

i:
First-principles (PBE-GGA) data for a relaxed structure of SrHo2Tm, as listed in the Alexandria database.

```
SrHo2Tm
1.0
3.972 0.000 0.000
0.000 3.972 0.000
0.000 0.000 9.211
Sr Ho Tm
1 2 1
direct
0.000 0.000 0.000 Sr
0.500 0.500 0.298 Ho
0.500 0.500 0.702 Ho
0.000 0.000 0.500 Tm
```

V = 36.3 A^3/atom
Calculated density = 6.70 Mg/m³

---

ii:
First-principles (PBE-GGA) data for a relaxed structure of SrHo2Tm, as listed in the Alexandria database.

```
SrHo2Tm
1.0
3.574 0.000 0.000
-1.787 3.096 0.000
0.000 0.000 38.035
Sr Ho Tm
3 6 3
direct
0.000 0.000 0.000 Sr
0.333 0.667 0.667 Sr
0.667 0.333 0.333 Sr
0.000 0.000 0.094 Ho
0.000 0.000 0.906 Ho
0.333 0.667 0.573 Ho
0.333 0.667 0.760 Ho
0.667 0.333 0.240 Ho
0.667 0.333 0.427 Ho
0.000 0.000 0.500 Tm
0.333 0.667 0.167 Tm
0.667 0.333 0.833 Tm
```

V = 35.1 A^3/atom
Calculated density = 6.94 Mg/m³

---

Of them, i has the highest stability.

---

i:
First-principles (PBE-GGA) data for a relaxed structure of SrHoTm2, as listed in the Alexandria database.

```
SrHoTm2
1.0
3.566 0.000 0.000
-1.783 3.088 0.000
0.000 0.000 37.914
Sr Ho Tm
3 3 6
direct
0.000 0.000 0.000 Sr
0.333 0.667 0.667 Sr
0.667 0.333 0.333 Sr
0.000 0.000 0.500 Ho
0.333 0.667 0.167 Ho
0.667 0.333 0.833 Ho
0.000 0.000 0.093 Tm
0.000 0.000 0.907 Tm
0.333 0.667 0.573 Tm
0.333 0.667 0.760 Tm
0.667 0.333 0.240 Tm
0.667 0.333 0.427 Tm
```

V = 34.8 A^3/atom
Calculated density = 7.05 Mg/m³

---

ii:
First-principles (PBE-GGA) data for a relaxed structure of SrHoTm2, as listed in the Alexandria database.

```
SrHoTm2
1.0
3.640 0.000 0.000
0.000 3.640 0.000
0.000 0.000 10.487
Sr Ho Tm
1 1 2
direct
0.000 0.000 0.000 Sr
0.000 0.000 0.500 Ho
0.500 0.500 0.281 Tm
0.500 0.500 0.719 Tm
```

V = 34.7 A^3/atom
Calculated density = 7.06 Mg/m³

---

Of them, ii has the highest stability.

---

i:
First-principles (PBE-GGA) data for a relaxed structure of SrYHo, as listed in the Alexandria database.

```
SrYHo
1.0
3.729 0.000 0.000
0.000 3.729 0.000
0.000 0.000 16.055
Sr Y Ho
2 2 2
direct
0.000 0.000 0.000 Sr
0.500 0.500 0.500 Sr
0.000 0.000 0.682 Y
0.500 0.500 0.182 Y
0.000 0.000 0.321 Ho
0.500 0.500 0.821 Ho
```

V = 37.2 A^3/atom
Calculated density = 5.08 Mg/m³

---

ii:
First-principles (PBE-GGA) data for a relaxed structure of SrYHo, as listed in the Alexandria database.

```
SrYHo
1.0
3.717 0.000 0.000
-1.858 3.219 0.000
0.000 0.000 9.248
Sr Y Ho
1 1 1
direct
0.000 0.000 0.000 Sr
0.667 0.333 0.355 Y
0.333 0.667 0.648 Ho
```

V = 36.9 A^3/atom
Calculated density = 5.12 Mg/m³

---

Of them, i has the highest stability.

---

i:
First-principles (PBE-GGA) data for a relaxed structure of SrYHo2, as listed in the Alexandria database.

```
SrYHo2
1.0
3.667 0.000 0.000
0.000 3.667 0.000
0.000 0.000 10.582
Sr Y Ho
1 1 2
direct
0.000 0.000 0.000 Sr
0.000 0.000 0.500 Y
0.500 0.500 0.278 Ho
0.500 0.500 0.722 Ho
```

V = 35.6 A^3/atom
Calculated density = 5.91 Mg/m³

---

ii:
First-principles (PBE-GGA) data for a relaxed structure of SrYHo2, as listed in the Alexandria database.

```
SrYHo2
1.0
3.658 0.000 0.000
-1.829 3.168 0.000
0.000 0.000 36.571
Sr Y Ho
3 3 6
direct
0.000 0.000 0.000 Sr
0.333 0.667 0.667 Sr
0.667 0.333 0.333 Sr
0.000 0.000 0.500 Y
0.333 0.667 0.167 Y
0.667 0.333 0.833 Y
0.000 0.000 0.243 Ho
0.000 0.000 0.757 Ho
0.333 0.667 0.423 Ho
0.333 0.667 0.910 Ho
0.667 0.333 0.090 Ho
0.667 0.333 0.577 Ho
```

V = 35.3 A^3/atom
Calculated density = 5.95 Mg/m³

---

Of them, i has the highest stability.

---

i:
First-principles (PBE-GGA) data for a relaxed structure of SrHo2Zn, as listed in the Alexandria database.

```
SrHo2Zn
1.0
3.650 0.000 0.000
0.000 3.650 0.000
0.000 0.000 9.373
Sr Ho Zn
1 2 1
direct
0.000 0.000 0.000 Sr
0.500 0.500 0.323 Ho
0.500 0.500 0.677 Ho
0.000 0.000 0.500 Zn
```

V = 31.2 A^3/atom
Calculated density = 6.42 Mg/m³

---

ii:
First-principles (PBE-GGA) data for a relaxed structure of SrHo2Zn, as listed in the Alexandria database.

```
SrHo2Zn
1.0
3.666 0.000 0.000
-1.833 3.175 0.000
0.000 0.000 33.857
Sr Ho Zn
3 6 3
direct
0.000 0.000 0.000 Sr
0.333 0.667 0.667 Sr
0.667 0.333 0.333 Sr
0.000 0.000 0.105 Ho
0.000 0.000 0.895 Ho
0.333 0.667 0.561 Ho
0.333 0.667 0.772 Ho
0.667 0.333 0.228 Ho
0.667 0.333 0.439 Ho
0.000 0.000 0.500 Zn
0.333 0.667 0.167 Zn
0.667 0.333 0.833 Zn
```

V = 32.8 A^3/atom
Calculated density = 6.10 Mg/m³

---

Of them, i has the highest stability.

---

i:
First-principles (PBE-GGA) data for a relaxed structure of HoZr2Ta, as listed in the Alexandria database.

```
HoZr2Ta
1.0
3.190 0.000 0.000
-1.595 2.763 0.000
0.000 0.000 31.750
Ho Zr Ta
3 6 3
direct
0.000 0.000 0.000 Ho
0.333 0.667 0.667 Ho
0.667 0.333 0.333 Ho
0.000 0.000 0.243 Zr
0.000 0.000 0.757 Zr
0.333 0.667 0.424 Zr
0.333 0.667 0.910 Zr
0.667 0.333 0.090 Zr
0.667 0.333 0.576 Zr
0.000 0.000 0.500 Ta
0.333 0.667 0.167 Ta
0.667 0.333 0.833 Ta
```

V = 23.3 A^3/atom
Calculated density = 9.41 Mg/m³

---

ii:
First-principles (PBE-GGA) data for a relaxed structure of HoZr2Ta, as listed in the Alexandria database.

```
HoZr2Ta
1.0
3.610 0.000 0.000
0.000 3.610 0.000
0.000 0.000 7.254
Ho Zr Ta
1 2 1
direct
0.000 0.000 0.000 Ho
0.500 0.500 0.294 Zr
0.500 0.500 0.706 Zr
0.000 0.000 0.500 Ta
```

V = 23.6 A^3/atom
Calculated density = 9.28 Mg/m³

---

Of them, ii has the highest stability.